Record 1
Entry from the Alexandria database: a crystal of Ba2DyCoCu2O7 relaxed with PBEsol (SCAN).

Geometry as POSCAR:
```
Ba2DyCoCu2O7
1.0
3.8399 0.0000 0.0000
0.0000 3.8401 0.0000
0.0000 0.0000 11.5339
Ba Dy Co Cu O
2 1 1 2 7
Direct
0.0000 0.0000 0.1874 Ba
0.0000 0.0000 0.8126 Ba
0.0000 0.0000 0.5000 Dy
0.5000 0.5000 0.0000 Co
0.5000 0.5000 0.3657 Cu
0.5000 0.5000 0.6343 Cu
0.0000 0.5000 0.3766 O
0.0000 0.5000 0.6234 O
0.5000 0.0000 0.0000 O
0.5000 0.0000 0.3776 O
0.5000 0.0000 0.6224 O
0.5000 0.5000 0.1527 O
0.5000 0.5000 0.8473 O
```

VASP energy ... -246.19 eV per formula unit
E_form (uncorrected) ... -2.152 eV/atom
Crystal system ... orthorhombic

***

Record 2
Entry from the Alexandria database: a crystal of B6As relaxed with PBEsol (SCAN).

Geometry as POSCAR:
```
B6As
1.0
3.0660 1.7702 3.9501
-3.0660 1.7702 3.9501
0.0000 -3.5403 3.9501
B As
12 2
Direct
0.1756 0.4841 0.4841 B
0.2276 0.6781 0.6781 B
0.3219 0.3219 0.7724 B
0.3219 0.7724 0.3219 B
0.4841 0.1756 0.4841 B
0.4841 0.4841 0.1756 B
0.5159 0.5159 0.8244 B
0.5159 0.8244 0.5159 B
0.6781 0.2276 0.6781 B
0.6781 0.6781 0.2276 B
0.7724 0.3219 0.3219 B
0.8244 0.5159 0.5159 B
0.1009 0.1009 0.1009 As
0.8991 0.8991 0.8991 As
```

VASP energy ... -66.40 eV per formula unit
E_form ... -0.23 eV/atom
Crystal system ... trigonal

***

Record 3
Entry from the Alexandria database: a crystal of Mg5Zn relaxed with PBEsol (SCAN).

Geometry as POSCAR:
```
Mg5Zn
1.0
5.3639 0.0000 0.0000
-2.6819 4.6452 0.0000
0.0000 0.0000 4.9577
Mg Zn
5 1
Direct
0.0000 0.3214 0.0000 Mg
0.3214 0.0000 0.0000 Mg
0.3333 0.6667 0.5000 Mg
0.6667 0.3333 0.5000 Mg
0.6786 0.6786 0.0000 Mg
0.0000 0.0000 0.5000 Zn
```

VASP energy ... -38.51 eV per formula unit
E_form ... -0.02 eV/atom
Crystal system ... hexagonal